Entry 1:
This record from the Alexandria database describes a geometry-optimized Tb2Sc4Tl structure. The functional is PBE. Values from VASP.

## Properties
As for the space group: Cmmm (65). The density of states at the Fermi level comes out at 12.4 states/eV per cell. The formation energy from the elements is 0.500 eV per atom.

Structure (Quantum ESPRESSO input):
```
&SYSTEM
  ibrav = 0, nat = 7, ntyp = 3
/
ATOMIC_SPECIES
Tb 158.93 Tb.upf
Sc 44.96 Sc.upf
Tl 204.38 Tl.upf
ATOMIC_POSITIONS angstrom
Tb 0.7536 -3.0391 0.5237
Tb 4.9548 -3.8758 -0.0401
Sc 2.4817 -2.9683 -1.9125
Sc 4.1164 -0.8055 -0.6280
Sc 3.2267 -3.9467 2.3962
Sc 2.7376 -1.0046 2.0728
Tl 1.8116 0.0403 -2.3731
CELL_PARAMETERS angstrom
-1.1456 -5.1048 -0.9611
3.6231 0.0805 -4.7462
3.2309 -1.8907 6.1910
```

***

Entry 2:
This record from the Alexandria database describes a geometry-optimized Sn2PdI structure. The functional is PBE. Values from VASP.

## Properties
The calculation puts the energy relative to the elements, uncorrected at -0.27 eV per atom. The offset from the most stable computed form is 0.00 eV per formula unit. As for the space group: R-3m (166). The density of states at the Fermi level comes out at 1.4 states/eV per cell.

Structure (Quantum ESPRESSO input):
```
&SYSTEM
  ibrav = 0, nat = 4, ntyp = 3
/
ATOMIC_SPECIES
I 126.90 I.upf
Sn 118.71 Sn.upf
Pd 106.42 Pd.upf
ATOMIC_POSITIONS angstrom
I 0.0000 0.0000 0.0000
Sn 2.2145 1.2785 4.9239
Sn 6.6435 3.8356 2.9615
Pd 4.4290 2.5571 3.9427
CELL_PARAMETERS angstrom
4.4290 0.0000 0.0000
2.2145 3.8356 0.0000
2.2145 1.2785 7.8854
```

***

Entry 3:
This record from the Alexandria database describes a geometry-optimized Rb2AgPb structure. The functional is PBE. Values from VASP.

## Properties
As for the space group: Cmcm (63). The density of states at the Fermi level comes out at 6.8 states/eV per cell. The formation energy from the elements is -0.035 eV per atom.

Structure (Quantum ESPRESSO input):
```
&SYSTEM
  ibrav = 0, nat = 8, ntyp = 3
/
ATOMIC_SPECIES
Rb 85.47 Rb.upf
Ag 107.87 Ag.upf
Pb 207.20 Pb.upf
ATOMIC_POSITIONS angstrom
Rb -7.0069 -3.8086 -3.0990
Rb -3.5075 3.5586 0.2054
Rb -2.9704 -3.8685 -1.1047
Rb -7.5440 3.6185 -1.7889
Ag -5.2572 -0.1250 -1.4468
Ag -3.7800 -0.5724 1.6955
Pb -2.4933 -0.0420 -0.7841
Pb -8.0211 -0.2080 -2.1095
CELL_PARAMETERS angstrom
-2.9544 0.8949 -6.2845
-3.3722 -6.2118 0.7007
-4.1878 5.0670 2.6903
```

***

Entry 4:
This record from the Alexandria database describes a geometry-optimized BaBeAl structure. The functional is PBE. Values from VASP.

## Properties
The offset from the most stable computed form is 0.25 eV per formula unit. As for the space group: C2/m (12). The density of states at the Fermi level comes out at 6.9 states/eV per cell. The formation energy from the elements is 0.022 eV per atom.

Structure (Quantum ESPRESSO input):
```
&SYSTEM
  ibrav = 0, nat = 12, ntyp = 3
/
ATOMIC_SPECIES
Be 9.01 Be.upf
Ba 137.33 Ba.upf
Al 26.98 Al.upf
ATOMIC_POSITIONS angstrom
Be 0.7136 -3.4105 0.4514
Be 6.2209 -8.0214 -0.1661
Be 5.7360 -7.3386 -2.2578
Be 0.1777 -4.8067 -1.2338
Ba 9.1909 -7.2044 -1.1232
Ba -2.2565 -4.2275 1.4084
Ba 3.1477 -3.9897 -2.1908
Ba 2.7660 -8.1556 -1.3007
Al 5.6411 -5.7716 -0.4344
Al 1.2933 -5.6602 0.7197
Al -0.4021 -2.5570 -1.5020
Al 6.3157 -9.5883 -1.9895
CELL_PARAMETERS angstrom
-4.1312 -4.2891 1.9268
-1.0208 -0.7134 -3.7768
11.0656 -7.1427 -1.6415
```

***

Entry 5:
This record from the Alexandria database describes a geometry-optimized K2BaCr structure. The functional is PBE. Values from VASP.

## Properties
The offset from the most stable computed form is 0.60 eV per formula unit. As for the space group: C2/m (12). The density of states at the Fermi level comes out at 3.5 states/eV per cell. The formation energy from the elements is 0.683 eV per atom.

Structure (Quantum ESPRESSO input):
```
&SYSTEM
  ibrav = 0, nat = 4, ntyp = 3
/
ATOMIC_SPECIES
Ba 137.33 Ba.upf
Cr 52.00 Cr.upf
K 39.10 K.upf
ATOMIC_POSITIONS angstrom
Ba -3.8208 3.1776 1.2421
Cr 1.2019 -0.4942 4.9547
K 0.0000 0.0000 0.0000
K -2.3534 -0.3028 2.8843
CELL_PARAMETERS angstrom
-7.3761 3.3690 -0.8283
2.6693 -3.9746 6.5970
-0.2655 2.9862 3.3125
```

***

Entry 6:
This record from the Alexandria database describes a geometry-optimized BaPb2Se3 structure. The functional is PBE. Values from VASP.

## Properties
The calculation puts the energy relative to the elements, uncorrected at -1.05 eV per atom. The offset from the most stable computed form is 0.00 eV per formula unit. As for the space group: Immm (71). The density of states at the Fermi level comes out at 0.0 states/eV per cell.

Structure (Quantum ESPRESSO input):
```
&SYSTEM
  ibrav = 0, nat = 6, ntyp = 3
/
ATOMIC_SPECIES
Ba 137.33 Ba.upf
Pb 207.20 Pb.upf
Se 78.96 Se.upf
ATOMIC_POSITIONS angstrom
Ba 2.1744 -0.0669 -0.5638
Pb 0.2810 3.8435 0.6354
Pb 3.2589 1.8500 3.3820
Se 1.9178 2.8210 -1.8962
Se 0.5722 1.0124 2.0841
Se 2.9678 4.6811 1.9333
CELL_PARAMETERS angstrom
4.3489 -0.1338 -1.1277
-0.5132 5.7758 -2.6648
-0.2957 0.0516 7.8099
```